Arrangement A

## CsCoSe2N (PBE-GGA)

Data for CsCoSe2N after structural relaxation.

a b c (Å): 5.787 5.787 3.391
angles (deg): 90.00 90.00 90.00
Space group P4/mmm (No. 123)
One atom of each set of equivalent atoms:
Cs 0.000 0.000 0.000 [1 per cell]
Co 0.500 0.500 0.500 [1 per cell]
Se 0.000 0.500 0.500 [2 per cell]
N 0.500 0.500 0.000 [1 per cell]

Fermi-level density of states ... 3.29 states/eV per cell



Arrangement B

## CsCoSe2N (PBE-GGA)

Data for CsCoSe2N after structural relaxation.

a b c (Å): 5.927 5.927 4.450
angles (deg): 90.00 90.00 90.00
Space group P4/mmm (No. 123)
One atom of each set of equivalent atoms:
Cs 0.000 0.000 0.000 [1 per cell]
Co 0.500 0.500 0.500 [1 per cell]
Se 0.000 0.500 0.000 [2 per cell]
N 0.000 0.000 0.500 [1 per cell]

Fermi-level density of states ... 5.01 states/eV per cell



Of them, the most stable is arrangement A and the least stable is arrangement B.



Arrangement A

## CsCoTe2N (PBE-GGA)

Data for CsCoTe2N after structural relaxation.

a b c (Å): 6.501 6.501 4.187
angles (deg): 90.00 90.00 90.00
Space group P4/mmm (No. 123)
One atom of each set of equivalent atoms:
Cs 0.000 0.000 0.000 [1 per cell]
Co 0.500 0.500 0.500 [1 per cell]
Te 0.000 0.500 0.000 [2 per cell]
N 0.000 0.000 0.500 [1 per cell]

Fermi-level density of states ... 7.68 states/eV per cell



Arrangement B

## CsCoTe2N (PBE-GGA)

Data for CsCoTe2N after structural relaxation.

a b c (Å): 6.180 6.180 3.427
angles (deg): 90.00 90.00 90.00
Space group P4/mmm (No. 123)
One atom of each set of equivalent atoms:
Cs 0.000 0.000 0.000 [1 per cell]
Co 0.500 0.500 0.500 [1 per cell]
Te 0.000 0.500 0.500 [2 per cell]
N 0.500 0.500 0.000 [1 per cell]

Fermi-level density of states ... 3.95 states/eV per cell



Of them, the most stable is arrangement B and the least stable is arrangement A.



Arrangement A

## CsNb2Co (PBE-GGA)

Data for CsNb2Co after structural relaxation.

a b c (Å): 5.268 5.268 15.908
angles (deg): 90.00 90.00 90.00
Space group I-42d (No. 122)
One atom of each set of equivalent atoms:
Cs 0.000 0.000 0.000 [4 per cell]
Nb 0.070 0.250 0.625 [8 per cell]
Co 0.000 0.000 0.500 [4 per cell]

Fermi-level density of states ... 15.65 states/eV per cell



Arrangement B

## CsNb2Co (PBE-GGA)

Data for CsNb2Co after structural relaxation.

a b c (Å): 6.665 6.665 6.665
angles (deg): 90.00 90.00 90.00
Space group Fm-3m (No. 225)
One atom of each set of equivalent atoms:
Cs 0.000 0.000 0.000 [4 per cell]
Nb 0.250 0.250 0.250 [8 per cell]
Co 0.000 0.000 0.500 [4 per cell]

Fermi-level density of states ... 13.08 states/eV per cell



Of them, the most stable is arrangement B and the least stable is arrangement A.



Arrangement A

## CsNbCo3 (PBE-GGA)

Data for CsNbCo3 after structural relaxation.

a b c (Å): 4.770 4.770 4.770
angles (deg): 90.00 90.00 90.00
Space group Pm-3m (No. 221)
One atom of each set of equivalent atoms:
Cs 0.000 0.000 0.000 [1 per cell]
Nb 0.500 0.500 0.500 [1 per cell]
Co 0.000 0.500 0.500 [3 per cell]

Fermi-level density of states ... 4.92 states/eV per cell



Arrangement B

## CsNbCo3 (PBE-GGA)

Data for CsNbCo3 after structural relaxation.

a b c (Å): 4.560 4.560 4.560
angles (deg): 90.00 90.00 90.00
Space group Pm-3m (No. 221)
One atom of each set of equivalent atoms:
Cs 0.000 0.000 0.000 [1 per cell]
Nb 0.500 0.500 0.500 [1 per cell]
Co 0.000 0.000 0.500 [3 per cell]

Fermi-level density of states ... 7.70 states/eV per cell



Of them, the most stable is arrangement A and the least stable is arrangement B.